(1)
DFT (meta-GGA SCAN) results for a PBEsol-optimized structure of Li3YRe.

Computed properties:
The density of states at the Fermi level is 0.43 states/eV/atom. The calculation puts the formation energy at 1944 meV per atom. The energy comes out at -19.278 eV/atom. The magnetization is 1.00 Bohr magnetons per cell.

a b c (Å): 4.353 4.353 4.353
angles (deg): 90.00 90.00 90.00
Sites, in units of the cell vectors:
Y1 0.000 0.000 0.000
Re1 0.500 0.500 0.500
Li1 0.000 0.500 0.000
Li2 0.000 0.000 0.500
Li3 0.500 0.000 0.000

=====

(2)
DFT (meta-GGA SCAN) results for a PBEsol-optimized structure of LiYRe2.

Computed properties:
The density of states at the Fermi level is 0.72 states/eV/atom. The calculation puts the formation energy at 251 meV per atom. The energy comes out at -42.856 eV/atom. The magnetization is 0.00 Bohr magnetons per cell.

a b c (Å): 3.162 4.443 5.540
angles (deg): 98.89 90.00 110.85
Sites, in units of the cell vectors:
Li1 0.264 0.528 0.791
Re1 0.006 0.011 0.026
Re2 0.732 0.464 0.171
Y1 0.499 0.997 0.512

=====

(3)
DFT (meta-GGA SCAN) results for a PBEsol-optimized structure of Li2ZrRe.

Computed properties:
The density of states at the Fermi level is 0.61 states/eV/atom. The calculation puts the formation energy at 438 meV per atom. The energy comes out at -26.206 eV/atom. The magnetization is 0.00 Bohr magnetons per cell.

a b c (Å): 2.608 2.608 9.735
angles (deg): 90.00 90.00 90.00
Sites, in units of the cell vectors:
Li1 0.000 0.000 0.777
Li2 0.000 0.000 0.223
Re1 0.500 0.500 0.000
Zr1 0.500 0.500 0.500

=====

(4)
DFT (meta-GGA SCAN) results for a PBEsol-optimized structure of LiZr2Re.

Computed properties:
The density of states at the Fermi level is 0.86 states/eV/atom. The calculation puts the formation energy at 71 meV per atom. The energy comes out at -33.651 eV/atom. The magnetization is 0.00 Bohr magnetons per cell.

a b c (Å): 2.851 4.231 6.208
angles (deg): 90.00 100.13 90.00
Sites, in units of the cell vectors:
Li1 0.500 0.500 0.000
Re1 0.500 0.500 0.500
Zr1 0.902 0.000 0.730
Zr2 0.098 0.000 0.270

=====

(5)
DFT (meta-GGA SCAN) results for a PBEsol-optimized structure of LiZr2Re.

Computed properties:
The density of states at the Fermi level is 0.77 states/eV/atom. The calculation puts the formation energy at -219 meV per atom. The energy comes out at -33.940 eV/atom. The magnetization is 0.00 Bohr magnetons per cell.

a b c (Å): 4.633 4.633 4.633
angles (deg): 60.00 60.00 60.00
Sites, in units of the cell vectors:
Re1 0.500 0.500 0.500
Zr1 0.250 0.250 0.250
Zr2 0.750 0.750 0.750
Li1 0.000 0.000 0.000

=====

(6)
DFT (meta-GGA SCAN) results for a PBEsol-optimized structure of Li2Rh.

Computed properties:
The density of states at the Fermi level is 0.14 states/eV/atom. The calculation puts the formation energy at -175 meV per atom. The energy comes out at -13.025 eV/atom. The magnetization is 0.00 Bohr magnetons per cell.

a b c (Å): 2.459 4.130 4.571
angles (deg): 116.85 105.60 90.00
Sites, in units of the cell vectors:
Rh1 0.000 0.000 0.000
Li1 0.663 0.663 0.325
Li2 0.337 0.337 0.675

=====

(7)
DFT (meta-GGA SCAN) results for a PBEsol-optimized structure of Li3Rh2.

Computed properties:
The density of states at the Fermi level is 0.52 states/eV/atom. The calculation puts the formation energy at -168 meV per atom. The energy comes out at -15.110 eV/atom. The magnetization is 0.67 Bohr magnetons per cell.

a b c (Å): 2.653 2.653 11.255
angles (deg): 83.23 83.23 60.00
Sites, in units of the cell vectors:
Rh1 0.602 0.602 0.193
Rh2 0.398 0.398 0.807
Li1 0.000 0.000 0.000
Li2 0.207 0.207 0.378
Li3 0.793 0.793 0.622

=====

(8)
DFT (meta-GGA SCAN) results for a PBEsol-optimized structure of LiRh.

Computed properties:
The density of states at the Fermi level is 0.77 states/eV/atom. The calculation puts the formation energy at -125 meV per atom. The energy comes out at -18.206 eV/atom. The magnetization is 0.00 Bohr magnetons per cell.

a b c (Å): 2.591 4.175 5.042
angles (deg): 90.00 104.89 90.00
Sites, in units of the cell vectors:
Rh1 0.796 0.750 0.591
Rh2 0.204 0.250 0.409
Li1 0.549 0.750 0.098
Li2 0.451 0.250 0.902

=====

(9)
DFT (meta-GGA SCAN) results for a PBEsol-optimized structure of LiRh.

Computed properties:
The density of states at the Fermi level is 0.70 states/eV/atom. The calculation puts the formation energy at -213 meV per atom. The energy comes out at -18.294 eV/atom. The magnetization is 0.37 Bohr magnetons per cell.

a b c (Å): 2.624 2.624 4.320
angles (deg): 90.00 90.00 120.00
Sites, in units of the cell vectors:
Rh1 0.000 0.000 0.000
Li1 0.333 0.667 0.500

=====

(10)
DFT (meta-GGA SCAN) results for a PBEsol-optimized structure of LiRh.

Computed properties:
The density of states at the Fermi level is 0.94 states/eV/atom. The calculation puts the formation energy at -147 meV per atom. The energy comes out at -18.227 eV/atom. The magnetization is 0.00 Bohr magnetons per cell.

a b c (Å): 2.641 5.074 6.338
angles (deg): 102.85 90.00 105.09
Sites, in units of the cell vectors:
Rh1 0.655 0.310 0.318
Rh2 0.082 0.164 0.618
Rh3 0.711 0.423 0.951
Li1 0.990 0.980 0.999
Li2 0.341 0.683 0.654
Li3 0.387 0.774 0.293

=====

(11)
DFT (meta-GGA SCAN) results for a PBEsol-optimized structure of Li2Rh.

Computed properties:
The density of states at the Fermi level is 0.48 states/eV/atom. The calculation puts the formation energy at -129 meV per atom. The energy comes out at -12.979 eV/atom. The magnetization is 0.00 Bohr magnetons per cell.

a b c (Å): 2.646 5.158 6.429
angles (deg): 102.20 90.00 104.86
Sites, in units of the cell vectors:
Rh1 0.295 0.590 0.360
Rh2 0.705 0.410 0.640
Li1 0.971 0.942 0.667
Li2 0.650 0.299 0.036
Li3 0.350 0.701 0.964
Li4 0.029 0.058 0.333

=====

(12)
DFT (meta-GGA SCAN) results for a PBEsol-optimized structure of Li2Rh.

Computed properties:
The density of states at the Fermi level is 0.57 states/eV/atom. The calculation puts the formation energy at 46 meV per atom. The energy comes out at -12.804 eV/atom. The magnetization is 0.73 Bohr magnetons per cell.

a b c (Å): 4.196 4.196 4.887
angles (deg): 90.00 90.00 120.00
Sites, in units of the cell vectors:
Li1 0.000 0.000 0.000
Li2 0.000 0.000 0.500
Li3 0.667 0.333 0.750
Li4 0.333 0.667 0.250
Rh1 0.333 0.667 0.750
Rh2 0.667 0.333 0.250

=====

(13)
DFT (meta-GGA SCAN) results for a PBEsol-optimized structure of Li2Rh.

Computed properties:
The density of states at the Fermi level is 0.40 states/eV/atom. The calculation puts the formation energy at -146 meV per atom. The energy comes out at -12.996 eV/atom. The magnetization is 0.37 Bohr magnetons per cell.

a b c (Å): 4.416 4.762 4.426
angles (deg): 90.00 90.00 117.63
Sites, in units of the cell vectors:
Rh1 0.942 0.883 0.750
Rh2 0.058 0.117 0.250
Li1 0.590 0.181 0.750
Li2 0.410 0.819 0.250
Li3 0.257 0.514 0.750
Li4 0.743 0.486 0.250

=====

(14)
DFT (meta-GGA SCAN) results for a PBEsol-optimized structure of Li5Rh.

Computed properties:
The density of states at the Fermi level is 0.40 states/eV/atom. The calculation puts the formation energy at -62 meV per atom. The energy comes out at -7.682 eV/atom. The magnetization is 0.43 Bohr magnetons per cell.

a b c (Å): 2.654 5.390 6.891
angles (deg): 105.37 90.00 104.25
Sites, in units of the cell vectors:
Rh1 0.725 0.449 0.957
Li1 0.004 0.009 0.984
Li2 0.673 0.346 0.306
Li3 0.313 0.625 0.692
Li4 0.389 0.777 0.258
Li5 0.063 0.126 0.637

=====

(15)
DFT (meta-GGA SCAN) results for a PBEsol-optimized structure of Li8Rh.

Computed properties:
The density of states at the Fermi level is 0.37 states/eV/atom. The calculation puts the formation energy at -41 meV per atom. The energy comes out at -5.918 eV/atom. The magnetization is 0.01 Bohr magnetons per cell.

a b c (Å): 4.082 6.351 6.351
angles (deg): 84.07 71.25 71.25
Sites, in units of the cell vectors:
Rh1 0.000 0.000 0.000
Li1 0.349 0.000 0.303
Li2 0.651 0.000 0.697
Li3 0.689 0.311 0.311
Li4 0.349 0.303 0.000
Li5 0.000 0.311 0.689
Li6 0.651 0.697 0.000
Li7 0.311 0.689 0.689
Li8 0.000 0.689 0.311

=====

(16)
DFT (meta-GGA SCAN) results for a PBEsol-optimized structure of LiRh4.

Computed properties:
The density of states at the Fermi level is 0.92 states/eV/atom. The calculation puts the formation energy at -51 meV per atom. The energy comes out at -27.546 eV/atom. The magnetization is 0.00 Bohr magnetons per cell.

a b c (Å): 3.726 4.583 4.583
angles (deg): 80.49 66.01 66.01
Sites, in units of the cell vectors:
Rh1 0.602 0.199 0.596
Rh2 0.802 0.596 0.801
Rh3 0.398 0.801 0.404
Rh4 0.198 0.404 0.199
Li1 0.000 0.000 0.000

=====

(17)
DFT (meta-GGA SCAN) results for a PBEsol-optimized structure of Li2Rh.

Computed properties:
The density of states at the Fermi level is 0.68 states/eV/atom. The calculation puts the formation energy at -89 meV per atom. The energy comes out at -12.940 eV/atom. The magnetization is 0.26 Bohr magnetons per cell.

a b c (Å): 2.619 2.619 6.579
angles (deg): 101.48 101.48 90.00
Sites, in units of the cell vectors:
Rh1 0.000 0.000 0.000
Li1 0.647 0.647 0.294
Li2 0.353 0.353 0.706

=====

(18)
DFT (meta-GGA SCAN) results for a PBEsol-optimized structure of Li5Rh.

Computed properties:
The density of states at the Fermi level is 0.32 states/eV/atom. The calculation puts the formation energy at -63 meV per atom. The energy comes out at -7.683 eV/atom. The magnetization is 0.57 Bohr magnetons per cell.

a b c (Å): 2.638 4.519 7.881
angles (deg): 90.00 99.64 90.00
Sites, in units of the cell vectors:
Rh1 0.105 0.500 0.209
Li1 0.019 0.000 0.039
Li2 0.342 0.000 0.683
Li3 0.661 0.000 0.323
Li4 0.455 0.500 0.909
Li5 0.752 0.500 0.503

=====

(19)
DFT (meta-GGA SCAN) results for a PBEsol-optimized structure of LiRh.

Computed properties:
The density of states at the Fermi level is 0.68 states/eV/atom. The calculation puts the formation energy at -206 meV per atom. The energy comes out at -18.287 eV/atom. The magnetization is 0.01 Bohr magnetons per cell.

a b c (Å): 2.648 4.343 4.532
angles (deg): 90.00 89.99 90.00
Sites, in units of the cell vectors:
Rh1 0.250 0.750 0.060
Rh2 0.750 0.250 0.940
Li1 0.750 0.750 0.568
Li2 0.250 0.250 0.432

=====

(20)
DFT (meta-GGA SCAN) results for a PBEsol-optimized structure of LiRh.

Computed properties:
The density of states at the Fermi level is 1.21 states/eV/atom. The calculation puts the formation energy at 53 meV per atom. The energy comes out at -18.028 eV/atom. The magnetization is 0.00 Bohr magnetons per cell.

a b c (Å): 2.644 2.644 9.191
angles (deg): 90.00 90.00 118.07
Sites, in units of the cell vectors:
Li1 0.250 0.750 0.146
Li2 0.750 0.250 0.854
Rh1 0.250 0.750 0.623
Rh2 0.750 0.250 0.377